PbS2I (GGA-PBE, optimized geometry); symmetry = R-3m, No. 166; density of states at the Fermi level = 2.70 states/eV per cell; formation energy (no corrections) = -62 meV/atom; ΔE to the lowest computed polymorph = 208 meV/atom
1.0
-7.5706 2.2385 3.0291
-5.7736 -0.1566 6.1758
-4.7034 4.0321 5.7550
Pb S I
1 2 1
Direct
0.5000 0.5000 0.5000 Pb
0.1071 0.1071 0.1071 S
0.8929 0.8929 0.8929 S
0.0000 0.0000 0.0000 I